Entry 1:
# AcBS3 | the Alexandria database | PBE | optimized geometry
# * uncorrected formation energy: -131 kJ per mole of atoms
# * E above lowest polymorph: 0.00 eV per formula unit
# * V: 462.4 Å³/cell
# * calculated total energy: -5.995 eV/atom
data_AcBS3
_cell_length_a 6.229
_cell_length_b 8.038
_cell_length_c 11.012
_cell_angle_alpha 90.00
_cell_angle_beta 123.00
_cell_angle_gamma 90.00
_symmetry_space_group_name_H-M 'P 1'
_symmetry_Int_Tables_number 1
_symmetry_space_group_name_Hall 'P 1'
loop_
_atom_site_label
_atom_site_fract_x
_atom_site_fract_y
_atom_site_fract_z
Ac1 0.176 0.115 0.245
Ac2 0.176 0.385 0.745
Ac3 0.824 0.615 0.255
Ac4 0.824 0.885 0.755
B1 0.184 0.658 0.090
B2 0.184 0.842 0.590
B3 0.816 0.158 0.410
B4 0.816 0.342 0.910
S1 0.070 0.197 0.942
S2 0.070 0.303 0.442
S3 0.302 0.681 0.971
S4 0.302 0.819 0.471
S5 0.325 0.515 0.242
S6 0.325 0.985 0.742
S7 0.675 0.015 0.258
S8 0.675 0.485 0.758
S9 0.698 0.181 0.529
S10 0.698 0.319 0.029
S11 0.930 0.697 0.558
S12 0.930 0.803 0.058


Entry 2:
# Th7Hg2Ir2 | the Alexandria database | PBE | optimized geometry
# * V: 332.7 Å³/cell
# * calculated total energy: -6.645 eV/atom
# * energy relative to the elements: -0.257 eV per atom
data_Th7Hg2Ir2
_cell_length_a 7.017
_cell_length_b 7.017
_cell_length_c 7.054
_cell_angle_alpha 90.00
_cell_angle_beta 90.00
_cell_angle_gamma 106.67
_symmetry_space_group_name_H-M 'P 1'
_symmetry_Int_Tables_number 1
_symmetry_space_group_name_Hall 'P 1'
loop_
_atom_site_label
_atom_site_fract_x
_atom_site_fract_y
_atom_site_fract_z
Th1 0.000 0.000 0.000
Th2 0.000 0.500 0.264
Th3 0.000 0.500 0.736
Th4 0.500 0.000 0.264
Th5 0.500 0.000 0.736
Th6 0.500 0.500 0.244
Th7 0.500 0.500 0.756
Hg1 0.169 0.169 0.500
Hg2 0.831 0.831 0.500
Ir1 0.268 0.732 0.000
Ir2 0.732 0.268 0.000


Entry 3:
# CsFeC3 | the Alexandria database | PBE | optimized geometry
# * E above lowest polymorph: 0.00 eV per formula unit
# * V: 64.3 Å³/cell
# * calculated total energy: -5.192 eV/atom
# * energy relative to the elements: 2.205 eV per atom
data_CsFeC3
_cell_length_a 4.007
_cell_length_b 4.007
_cell_length_c 4.007
_cell_angle_alpha 90.00
_cell_angle_beta 90.00
_cell_angle_gamma 90.00
_symmetry_space_group_name_H-M 'P 1'
_symmetry_Int_Tables_number 1
_symmetry_space_group_name_Hall 'P 1'
loop_
_atom_site_label
_atom_site_fract_x
_atom_site_fract_y
_atom_site_fract_z
Cs1 0.000 0.000 0.000
Fe1 0.500 0.500 0.500
C1 0.000 0.500 0.500
C2 0.500 0.000 0.500
C3 0.500 0.500 0.000


Entry 4:
# KCaCo2 | the Alexandria database | PBE | optimized geometry
# * E above lowest polymorph: 2.48 eV per formula unit
# * V: 88.5 Å³/cell
# * calculated total energy: -3.384 eV/atom
# * energy relative to the elements: 0.944 eV per atom
data_KCaCo2
_cell_length_a 3.079
_cell_length_b 3.079
_cell_length_c 9.338
_cell_angle_alpha 90.00
_cell_angle_beta 90.00
_cell_angle_gamma 90.00
_symmetry_space_group_name_H-M 'P 1'
_symmetry_Int_Tables_number 1
_symmetry_space_group_name_Hall 'P 1'
loop_
_atom_site_label
_atom_site_fract_x
_atom_site_fract_y
_atom_site_fract_z
K1 0.000 0.000 0.000
Ca1 0.000 0.000 0.500
Co1 0.500 0.500 0.280
Co2 0.500 0.500 0.720


Entry 5:
# Tb2PmSmSc4 | the Alexandria database | PBE | optimized geometry
# * V: 226.7 Å³/cell
# * calculated total energy: -5.446 eV/atom
# * energy relative to the elements: 0.061 eV per atom
data_Tb2PmSmSc4
_cell_length_a 5.970
_cell_length_b 3.450
_cell_length_c 11.185
_cell_angle_alpha 90.00
_cell_angle_beta 100.23
_cell_angle_gamma 90.00
_symmetry_space_group_name_H-M 'P 1'
_symmetry_Int_Tables_number 1
_symmetry_space_group_name_Hall 'P 1'
loop_
_atom_site_label
_atom_site_fract_x
_atom_site_fract_y
_atom_site_fract_z
Tb1 0.000 0.000 0.000
Tb2 0.000 0.500 0.500
Pm1 0.500 0.000 0.500
Sm1 0.500 0.500 0.000
Sc1 0.249 0.000 0.750
Sc2 0.250 0.500 0.250
Sc3 0.750 0.500 0.750
Sc4 0.751 0.000 0.250


Entry 6:
# ErTh2Hg5 | the Alexandria database | PBE | optimized geometry
# * V: 205.2 Å³/cell
# * calculated total energy: -2.885 eV/atom
# * energy relative to the elements: -0.271 eV per atom
data_ErTh2Hg5
_cell_length_a 8.573
_cell_length_b 8.573
_cell_length_c 8.573
_cell_angle_alpha 145.11
_cell_angle_beta 145.11
_cell_angle_gamma 50.17
_symmetry_space_group_name_H-M 'P 1'
_symmetry_Int_Tables_number 1
_symmetry_space_group_name_Hall 'P 1'
loop_
_atom_site_label
_atom_site_fract_x
_atom_site_fract_y
_atom_site_fract_z
Er1 0.000 0.000 0.000
Th1 0.261 0.261 0.000
Th2 0.739 0.739 0.000
Hg1 0.115 0.615 0.500
Hg2 0.385 0.885 0.500
Hg3 0.500 0.500 0.000
Hg4 0.615 0.115 0.500
Hg5 0.885 0.385 0.500


Entry 7:
# SrP2Se | the Alexandria database | PBE | optimized geometry
# * uncorrected formation energy: -5 kJ per mole of atoms
# * V: 86.7 Å³/cell
# * calculated total energy: -4.053 eV/atom
data_SrP2Se
_cell_length_a 5.759
_cell_length_b 5.759
_cell_length_c 5.759
_cell_angle_alpha 137.34
_cell_angle_beta 137.34
_cell_angle_gamma 61.92
_symmetry_space_group_name_H-M 'P 1'
_symmetry_Int_Tables_number 1
_symmetry_space_group_name_Hall 'P 1'
loop_
_atom_site_label
_atom_site_fract_x
_atom_site_fract_y
_atom_site_fract_z
Sr1 0.000 0.000 0.000
P1 0.250 0.750 0.500
P2 0.500 0.500 0.000
Se1 0.750 0.250 0.500


Entry 8:
# BeRuSe2 | the Alexandria database | PBE | optimized geometry
# * uncorrected formation energy: -19 kJ per mole of atoms
# * V: 82.5 Å³/cell
# * calculated total energy: -5.189 eV/atom
data_BeRuSe2
_cell_length_a 7.441
_cell_length_b 7.441
_cell_length_c 7.441
_cell_angle_alpha 155.51
_cell_angle_beta 151.07
_cell_angle_gamma 38.25
_symmetry_space_group_name_H-M 'P 1'
_symmetry_Int_Tables_number 1
_symmetry_space_group_name_Hall 'P 1'
loop_
_atom_site_label
_atom_site_fract_x
_atom_site_fract_y
_atom_site_fract_z
Be1 0.000 0.000 0.000
Ru1 0.500 0.500 0.000
Se1 0.121 0.621 0.500
Se2 0.879 0.379 0.500


Entry 9:
# Ti3SnPb | the Alexandria database | PBE | optimized geometry
# * E above lowest polymorph: 2.00 eV per formula unit
# * V: 130.0 Å³/cell
# * calculated total energy: -5.520 eV/atom
# * energy relative to the elements: 0.759 eV per atom
data_Ti3SnPb
_cell_length_a 5.066
_cell_length_b 5.066
_cell_length_c 5.066
_cell_angle_alpha 90.00
_cell_angle_beta 90.00
_cell_angle_gamma 90.00
_symmetry_space_group_name_H-M 'P 1'
_symmetry_Int_Tables_number 1
_symmetry_space_group_name_Hall 'P 1'
loop_
_atom_site_label
_atom_site_fract_x
_atom_site_fract_y
_atom_site_fract_z
Ti1 0.000 0.000 0.500
Ti2 0.000 0.500 0.000
Ti3 0.500 0.000 0.000
Sn1 0.000 0.000 0.000
Pb1 0.500 0.500 0.500


Entry 10:
# HfAs2PbSe | the Alexandria database | PBE | optimized geometry
# * uncorrected formation energy: 102 kJ per mole of atoms
# * E above lowest polymorph: 5.72 eV per formula unit
# * V: 143.9 Å³/cell
# * calculated total energy: -4.230 eV/atom
data_HfAs2PbSe
_cell_length_a 5.222
_cell_length_b 5.222
_cell_length_c 5.278
_cell_angle_alpha 90.00
_cell_angle_beta 90.00
_cell_angle_gamma 90.00
_symmetry_space_group_name_H-M 'P 1'
_symmetry_Int_Tables_number 1
_symmetry_space_group_name_Hall 'P 1'
loop_
_atom_site_label
_atom_site_fract_x
_atom_site_fract_y
_atom_site_fract_z
Hf1 0.000 0.000 0.000
As1 0.000 0.500 0.500
As2 0.500 0.000 0.500
Pb1 0.500 0.500 0.500
Se1 0.500 0.500 0.000


Entry 11:
# AgSb2TePd | the Alexandria database | PBE | optimized geometry
# * uncorrected formation energy: 80 kJ per mole of atoms
# * E above lowest polymorph: 2.03 eV per formula unit
# * V: 151.8 Å³/cell
# * calculated total energy: -3.055 eV/atom
data_AgSb2TePd
_cell_length_a 5.307
_cell_length_b 5.307
_cell_length_c 5.390
_cell_angle_alpha 90.00
_cell_angle_beta 90.00
_cell_angle_gamma 90.00
_symmetry_space_group_name_H-M 'P 1'
_symmetry_Int_Tables_number 1
_symmetry_space_group_name_Hall 'P 1'
loop_
_atom_site_label
_atom_site_fract_x
_atom_site_fract_y
_atom_site_fract_z
Ag1 0.000 0.000 0.000
Sb1 0.000 0.500 0.000
Sb2 0.500 0.000 0.000
Te1 0.000 0.000 0.500
Pd1 0.500 0.500 0.500


Entry 12:
# Sr2Ga4Pd3Au | the Alexandria database | PBE | optimized geometry
# * V: 209.1 Å³/cell
# * calculated total energy: -4.119 eV/atom
# * energy relative to the elements: -0.686 eV per atom
data_Sr2Ga4Pd3Au
_cell_length_a 4.534
_cell_length_b 4.534
_cell_length_c 10.172
_cell_angle_alpha 90.00
_cell_angle_beta 90.00
_cell_angle_gamma 90.00
_symmetry_space_group_name_H-M 'P 1'
_symmetry_Int_Tables_number 1
_symmetry_space_group_name_Hall 'P 1'
loop_
_atom_site_label
_atom_site_fract_x
_atom_site_fract_y
_atom_site_fract_z
Sr1 0.000 0.500 0.248
Sr2 0.500 0.000 0.752
Ga1 0.000 0.000 0.500
Ga2 0.000 0.500 0.873
Ga3 0.500 0.000 0.127
Ga4 0.500 0.500 0.500
Pd1 0.000 0.000 0.000
Pd2 0.000 0.500 0.623
Pd3 0.500 0.000 0.377
Au1 0.500 0.500 0.000


Entry 13:
# AgPd2Rh2 | the Alexandria database | PBE | optimized geometry
# * E above lowest polymorph: 0.19 eV per formula unit
# * V: 162.6 Å³/cell
# * calculated total energy: -5.287 eV/atom
# * energy relative to the elements: 0.301 eV per atom
data_AgPd2Rh2
_cell_length_a 7.669
_cell_length_b 7.669
_cell_length_c 2.764
_cell_angle_alpha 90.00
_cell_angle_beta 90.00
_cell_angle_gamma 90.00
_symmetry_space_group_name_H-M 'P 1'
_symmetry_Int_Tables_number 1
_symmetry_space_group_name_Hall 'P 1'
loop_
_atom_site_label
_atom_site_fract_x
_atom_site_fract_y
_atom_site_fract_z
Ag1 0.000 0.000 0.000
Ag2 0.500 0.500 0.000
Pd1 0.125 0.375 0.000
Pd2 0.375 0.875 0.000
Pd3 0.625 0.125 0.000
Pd4 0.875 0.625 0.000
Rh1 0.172 0.672 0.500
Rh2 0.328 0.172 0.500
Rh3 0.672 0.828 0.500
Rh4 0.828 0.328 0.500


Entry 14:
# Pr8Se4S3Cl | the Alexandria database | PBE | optimized geometry
# * uncorrected formation energy: -179 kJ per mole of atoms
# * V: 417.7 Å³/cell
# * calculated total energy: -6.003 eV/atom
data_Pr8Se4S3Cl
_cell_length_a 8.387
_cell_length_b 8.387
_cell_length_c 8.387
_cell_angle_alpha 60.05
_cell_angle_beta 60.05
_cell_angle_gamma 60.05
_symmetry_space_group_name_H-M 'P 1'
_symmetry_Int_Tables_number 1
_symmetry_space_group_name_Hall 'P 1'
loop_
_atom_site_label
_atom_site_fract_x
_atom_site_fract_y
_atom_site_fract_z
Pr1 0.229 0.754 0.754
Pr2 0.243 0.243 0.243
Pr3 0.246 0.246 0.771
Pr4 0.246 0.771 0.246
Pr5 0.754 0.229 0.754
Pr6 0.754 0.754 0.229
Pr7 0.757 0.757 0.757
Pr8 0.771 0.246 0.246
Se1 0.000 0.000 0.000
Se2 0.000 0.500 0.500
Se3 0.500 0.000 0.500
Se4 0.500 0.500 0.000
S1 0.000 0.000 0.500
S2 0.000 0.500 0.000
S3 0.500 0.000 0.000
Cl1 0.500 0.500 0.500


Entry 15:
# Ba3NaCa | the Alexandria database | PBE | optimized geometry
# * E above lowest polymorph: 1.29 eV per formula unit
# * V: 315.6 Å³/cell
# * calculated total energy: -1.514 eV/atom
# * energy relative to the elements: 0.304 eV per atom
data_Ba3NaCa
_cell_length_a 6.808
_cell_length_b 6.808
_cell_length_c 6.808
_cell_angle_alpha 90.00
_cell_angle_beta 90.00
_cell_angle_gamma 90.00
_symmetry_space_group_name_H-M 'P 1'
_symmetry_Int_Tables_number 1
_symmetry_space_group_name_Hall 'P 1'
loop_
_atom_site_label
_atom_site_fract_x
_atom_site_fract_y
_atom_site_fract_z
Ba1 0.000 0.000 0.500
Ba2 0.000 0.500 0.000
Ba3 0.500 0.000 0.000
Na1 0.000 0.000 0.000
Ca1 0.500 0.500 0.500


Entry 16:
# TbDyTh4 | the Alexandria database | PBE | optimized geometry
# * V: 193.0 Å³/cell
# * calculated total energy: -6.446 eV/atom
# * energy relative to the elements: 0.039 eV per atom
data_TbDyTh4
_cell_length_a 3.577
_cell_length_b 3.577
_cell_length_c 15.087
_cell_angle_alpha 90.00
_cell_angle_beta 90.00
_cell_angle_gamma 90.00
_symmetry_space_group_name_H-M 'P 1'
_symmetry_Int_Tables_number 1
_symmetry_space_group_name_Hall 'P 1'
loop_
_atom_site_label
_atom_site_fract_x
_atom_site_fract_y
_atom_site_fract_z
Tb1 0.000 0.000 0.000
Dy1 0.500 0.500 0.500
Th1 0.000 0.000 0.332
Th2 0.000 0.000 0.668
Th3 0.500 0.500 0.169
Th4 0.500 0.500 0.831


Entry 17:
# HfNbMo2 | the Alexandria database | PBE | optimized geometry
# * E above lowest polymorph: 1.17 eV per formula unit
# * V: 145.9 Å³/cell
# * calculated total energy: -10.207 eV/atom
# * energy relative to the elements: 0.214 eV per atom
data_HfNbMo2
_cell_length_a 6.240
_cell_length_b 6.240
_cell_length_c 7.646
_cell_angle_alpha 90.00
_cell_angle_beta 90.00
_cell_angle_gamma 150.65
_symmetry_space_group_name_H-M 'P 1'
_symmetry_Int_Tables_number 1
_symmetry_space_group_name_Hall 'P 1'
loop_
_atom_site_label
_atom_site_fract_x
_atom_site_fract_y
_atom_site_fract_z
Hf1 0.015 0.985 0.750
Hf2 0.985 0.015 0.250
Nb1 0.255 0.745 0.250
Nb2 0.745 0.255 0.750
Mo1 0.367 0.633 0.532
Mo2 0.367 0.633 0.968
Mo3 0.633 0.367 0.032
Mo4 0.633 0.367 0.468


Entry 18:
# AsPb3 | the Alexandria database | PBE | optimized geometry
# * E above lowest polymorph: 0.30 eV per formula unit
# * V: 115.1 Å³/cell
# * calculated total energy: -3.830 eV/atom
# * energy relative to the elements: 0.114 eV per atom
data_AsPb3
_cell_length_a 3.361
_cell_length_b 5.142
_cell_length_c 6.787
_cell_angle_alpha 90.00
_cell_angle_beta 101.00
_cell_angle_gamma 90.00
_symmetry_space_group_name_H-M 'P 1'
_symmetry_Int_Tables_number 1
_symmetry_space_group_name_Hall 'P 1'
loop_
_atom_site_label
_atom_site_fract_x
_atom_site_fract_y
_atom_site_fract_z
As1 0.000 0.000 0.000
Pb1 0.000 0.000 0.500
Pb2 0.372 0.500 0.228
Pb3 0.628 0.500 0.772


Entry 19:
# FeMoPt2 | the Alexandria database | PBE | optimized geometry
# * V: 59.3 Å³/cell
# * calculated total energy: -8.042 eV/atom
# * energy relative to the elements: -0.198 eV per atom
data_FeMoPt2
_cell_length_a 4.758
_cell_length_b 4.758
_cell_length_c 4.827
_cell_angle_alpha 99.64
_cell_angle_beta 99.64
_cell_angle_gamma 33.46
_symmetry_space_group_name_H-M 'P 1'
_symmetry_Int_Tables_number 1
_symmetry_space_group_name_Hall 'P 1'
loop_
_atom_site_label
_atom_site_fract_x
_atom_site_fract_y
_atom_site_fract_z
Fe1 0.000 0.000 0.000
Mo1 0.255 0.255 0.728
Pt1 0.504 0.504 0.508
Pt2 0.747 0.747 0.216


Entry 20:
# Dy2BeSnPt6 | the Alexandria database | PBE | optimized geometry
# * V: 212.0 Å³/cell
# * calculated total energy: -6.169 eV/atom
# * energy relative to the elements: -0.851 eV per atom
data_Dy2BeSnPt6
_cell_length_a 8.511
_cell_length_b 8.511
_cell_length_c 8.511
_cell_angle_alpha 38.23
_cell_angle_beta 38.23
_cell_angle_gamma 38.23
_symmetry_space_group_name_H-M 'P 1'
_symmetry_Int_Tables_number 1
_symmetry_space_group_name_Hall 'P 1'
loop_
_atom_site_label
_atom_site_fract_x
_atom_site_fract_y
_atom_site_fract_z
Dy1 0.200 0.200 0.200
Dy2 0.800 0.800 0.800
Be1 0.500 0.500 0.500
Sn1 0.000 0.000 0.000
Pt1 0.244 0.738 0.738
Pt2 0.262 0.262 0.756
Pt3 0.262 0.756 0.262
Pt4 0.738 0.244 0.738
Pt5 0.738 0.738 0.244
Pt6 0.756 0.262 0.262